# HfMgUO6 | Alexandria | GGA-PBE | relaxed
# Crystal system ... trigonal
# D(E_F) ... 0.000 states/eV/atom
# E_form (uncorrected) ... -3048 meV/atom
data_HfMgUO6
_symmetry_space_group_name_H-M 'P 1'
_symmetry_Int_Tables_number 1
_symmetry_space_group_name_Hall 'P 1'
_cell_length_a 5.5358
_cell_length_b 5.5358
_cell_length_c 8.9737
_cell_angle_alpha 90.00
_cell_angle_beta 90.00
_cell_angle_gamma 120.00
loop_
_atom_site_label
_atom_site_type_symbol
_atom_site_fract_x
_atom_site_fract_y
_atom_site_fract_z
Hf1 Hf 0.3333 0.6667 0.2500
Hf2 Hf 0.6667 0.3333 0.7500
Mg1 Mg 0.0000 0.0000 0.0000
Mg2 Mg 0.0000 0.0000 0.5000
U1 U 0.3333 0.6667 0.7500
U2 U 0.6667 0.3333 0.2500
O1 O 0.0006 0.3454 0.1332
O2 O 0.0006 0.6552 0.3668
O3 O 0.3454 0.0006 0.6332
O4 O 0.3448 0.3454 0.3668
O5 O 0.3454 0.3448 0.8668
O6 O 0.3448 0.9994 0.1332
O7 O 0.6552 0.0006 0.8668
O8 O 0.6546 0.6552 0.1332
O9 O 0.6552 0.6546 0.6332
O10 O 0.6546 0.9994 0.3668
O11 O 0.9994 0.3448 0.6332
O12 O 0.9994 0.6546 0.8668



# Ho2TmZr | Alexandria | GGA-PBE | relaxed
# ΔE_f ... 0.201 eV/atom
# Crystal system ... cubic
# D(E_F) ... 1.441 states/eV/atom
data_Ho2TmZr
_symmetry_space_group_name_H-M 'P 1'
_symmetry_Int_Tables_number 1
_symmetry_space_group_name_Hall 'P 1'
_cell_length_a 5.4663
_cell_length_b 5.4663
_cell_length_c 5.4663
_cell_angle_alpha 60.00
_cell_angle_beta 60.00
_cell_angle_gamma 60.00
loop_
_atom_site_label
_atom_site_type_symbol
_atom_site_fract_x
_atom_site_fract_y
_atom_site_fract_z
Ho1 Ho 0.2500 0.2500 0.2500
Ho2 Ho 0.7500 0.7500 0.7500
Tm1 Tm 0.0000 0.0000 0.0000
Zr1 Zr 0.5000 0.5000 0.5000



# TlRe2Os | Alexandria | GGA-PBE | relaxed
# ΔE_f ... 0.764 eV/atom
# Crystal system ... monoclinic
# D(E_F) ... 0.912 states/eV/atom
data_TlRe2Os
_symmetry_space_group_name_H-M 'P 1'
_symmetry_Int_Tables_number 1
_symmetry_space_group_name_Hall 'P 1'
_cell_length_a 4.9001
_cell_length_b 4.9001
_cell_length_c 5.0138
_cell_angle_alpha 100.11
_cell_angle_beta 100.11
_cell_angle_gamma 34.44
loop_
_atom_site_label
_atom_site_type_symbol
_atom_site_fract_x
_atom_site_fract_y
_atom_site_fract_z
Tl1 Tl 0.0000 0.0000 0.0000
Re1 Re 0.5060 0.5060 0.4943
Re2 Re 0.7685 0.7685 0.3095
Os1 Os 0.2353 0.2353 0.7316



# Pr6Ni2RuCl3 | Alexandria | GGA-PBE | relaxed
# Crystal system ... monoclinic
# D(E_F) ... 0.529 states/eV/atom
# E_form (uncorrected) ... -911 meV/atom
data_Pr6Ni2RuCl3
_symmetry_space_group_name_H-M 'P 1'
_symmetry_Int_Tables_number 1
_symmetry_space_group_name_Hall 'P 1'
_cell_length_a 9.8202
_cell_length_b 9.8202
_cell_length_c 8.9364
_cell_angle_alpha 110.55
_cell_angle_beta 110.55
_cell_angle_gamma 24.00
loop_
_atom_site_label
_atom_site_type_symbol
_atom_site_fract_x
_atom_site_fract_y
_atom_site_fract_z
Pr1 Pr 0.0099 0.0099 0.2248
Pr2 Pr 0.3256 0.3256 0.4398
Pr3 Pr 0.3447 0.3447 0.8875
Pr4 Pr 0.6553 0.6553 0.1125
Pr5 Pr 0.6744 0.6744 0.5602
Pr6 Pr 0.9901 0.9901 0.7752
Ni1 Ni 0.1701 0.1701 0.3435
Ni2 Ni 0.8299 0.8299 0.6565
Ru1 Ru 0.5000 0.5000 0.0000
Cl1 Cl 0.1659 0.1659 0.8319
Cl2 Cl 0.5000 0.5000 0.5000
Cl3 Cl 0.8341 0.8341 0.1681